Run a
Al4Au: relaxed, PBE.

The structure in CIF format:
```
data_Al4Au
_cell_length_a 6.279
_cell_length_b 6.279
_cell_length_c 4.236
_cell_angle_alpha 90.00
_cell_angle_beta 90.00
_cell_angle_gamma 90.00
_symmetry_space_group_name_H-M 'I 4/m'
_symmetry_Int_Tables_number 87
_symmetry_space_group_name_Hall '-I 4'
loop_
_atom_site_label
_atom_site_type_symbol
_atom_site_fract_x
_atom_site_fract_y
_atom_site_fract_z
Al1 Al 0.106 0.306 0.000
Au1 Au 0.000 0.000 0.500
```

Magnetization in μB/f.u.: 0.000


Run b
Al4Au: relaxed, PBE.

The structure in CIF format:
```
data_Al4Au
_cell_length_a 3.797
_cell_length_b 3.797
_cell_length_c 12.905
_cell_angle_alpha 90.00
_cell_angle_beta 90.00
_cell_angle_gamma 90.00
_symmetry_space_group_name_H-M 'I 4/m m m'
_symmetry_Int_Tables_number 139
_symmetry_space_group_name_Hall '-I 4 2'
loop_
_atom_site_label
_atom_site_type_symbol
_atom_site_fract_x
_atom_site_fract_y
_atom_site_fract_z
Al1 Al 0.000 0.000 0.098
Al2 Al 0.000 0.500 0.250
Au1 Au 0.000 0.000 0.500
```

Magnetization in μB/f.u.: 0.000


Run c
Al4Au: relaxed, PBE.

The structure in CIF format:
```
data_Al4Au
_cell_length_a 4.874
_cell_length_b 4.874
_cell_length_c 4.874
_cell_angle_alpha 90.00
_cell_angle_beta 90.00
_cell_angle_gamma 90.00
_symmetry_space_group_name_H-M 'P m -3 m'
_symmetry_Int_Tables_number 221
_symmetry_space_group_name_Hall '-P 4 2 3'
loop_
_atom_site_label
_atom_site_type_symbol
_atom_site_fract_x
_atom_site_fract_y
_atom_site_fract_z
Al1 Al 0.000 0.000 0.000
Al2 Al 0.000 0.500 0.500
Au1 Au 0.500 0.500 0.500
```

Magnetization in μB/f.u.: 0.000


The structure with the most favorable energy is run a; the runner-up is 239 meV/atom above it.


Run a
AlBAu3: relaxed, PBE.

The structure in CIF format:
```
data_AlBAu3
_cell_length_a 4.842
_cell_length_b 4.842
_cell_length_c 4.842
_cell_angle_alpha 90.00
_cell_angle_beta 90.00
_cell_angle_gamma 90.00
_symmetry_space_group_name_H-M 'P m -3 m'
_symmetry_Int_Tables_number 221
_symmetry_space_group_name_Hall '-P 4 2 3'
loop_
_atom_site_label
_atom_site_type_symbol
_atom_site_fract_x
_atom_site_fract_y
_atom_site_fract_z
Al1 Al 0.000 0.000 0.000
B1 B 0.500 0.500 0.500
Au1 Au 0.000 0.000 0.500
```

Magnetization in μB/f.u.: 0.000


Run b
AlBAu3: relaxed, PBE.

The structure in CIF format:
```
data_AlBAu3
_cell_length_a 4.422
_cell_length_b 4.422
_cell_length_c 4.422
_cell_angle_alpha 90.00
_cell_angle_beta 90.00
_cell_angle_gamma 90.00
_symmetry_space_group_name_H-M 'P m -3 m'
_symmetry_Int_Tables_number 221
_symmetry_space_group_name_Hall '-P 4 2 3'
loop_
_atom_site_label
_atom_site_type_symbol
_atom_site_fract_x
_atom_site_fract_y
_atom_site_fract_z
Al1 Al 0.000 0.000 0.000
B1 B 0.500 0.500 0.500
Au1 Au 0.000 0.500 0.500
```

Magnetization in μB/f.u.: 0.000


The structure with the most favorable energy is run b; the runner-up is 852 meV/atom above it.